(1)
# KIOF2

A relaxed structure of KIOF2 (PBE-GGA, the Alexandria database).

Lattice parameters (Å, degrees): 4.7272 4.7272 4.9341 90.00 90.00 90.00
Sites, in units of the cell vectors:
K  0.0000  0.0000  0.0000
I  0.5000  0.5000  0.5000
O  0.0000  0.0000  0.5000
F  0.0000  0.5000  0.0000
F  0.5000  0.0000  0.0000

Values from the calculation:
M_tot: 1.39 μB per formula unit
offset from the most stable computed form: 1058 meV/atom
calculated volume: 110.26 Å³ per cell
energy relative to the elements, uncorrected: -212 meV/atom
SG: P4/mmm

=====

(2)
# YCuGe

A relaxed structure of YCuGe (PBE-GGA, the Alexandria database).

Lattice parameters (Å, degrees): 5.6896 5.6896 5.6896 136.85 98.76 96.79
Sites, in units of the cell vectors:
Y  0.2447  0.2447  0.0000
Y  0.7553  0.7553  0.0000
Cu  0.1665  0.5000  0.6665
Cu  0.8335  0.5000  0.3335
Ge  0.3287  0.0000  0.3287
Ge  0.6713  0.0000  0.6713

Values from the calculation:
M_tot: 0.00 μB per formula unit
formation energy: -0.5832 eV per atom
calculated volume: 117.11 Å³ per cell
SG: Immm

=====

(3)
# CaLaHo2

A relaxed structure of CaLaHo2 (PBE-GGA, the Alexandria database).

Lattice parameters (Å, degrees): 12.2185 12.2185 12.2185 17.12 17.12 17.12
Sites, in units of the cell vectors:
Ca  0.0000  0.0000  0.0000
La  0.1657  0.1657  0.1657
Ho  0.5799  0.5799  0.5799
Ho  0.7524  0.7524  0.7524

Values from the calculation:
M_tot: 0.00 μB per formula unit
offset from the most stable computed form: 0 meV/atom
formation energy: 0.0688 eV per atom
calculated volume: 137.97 Å³ per cell
SG: R3m

=====

(4)
# Sm6AlZn3

A relaxed structure of Sm6AlZn3 (PBE-GGA, the Alexandria database).

Lattice parameters (Å, degrees): 9.2548 5.1337 11.4646 90.00 106.25 90.00
Sites, in units of the cell vectors:
Sm  0.0219  0.2500  0.3999
Sm  0.1491  0.7500  0.1791
Sm  0.2408  0.2500  0.9971
Sm  0.3456  0.7500  0.8240
Sm  0.3763  0.2500  0.3426
Sm  0.3843  0.2500  0.6204
Sm  0.6157  0.7500  0.3796
Sm  0.6237  0.7500  0.6574
Sm  0.6544  0.2500  0.1760
Sm  0.7592  0.7500  0.0029
Sm  0.8509  0.2500  0.8209
Sm  0.9781  0.7500  0.6001
Al  0.4516  0.7500  0.1079
Al  0.5484  0.2500  0.8921
Zn  0.0332  0.7500  0.8824
Zn  0.1224  0.2500  0.7221
Zn  0.2721  0.7500  0.4699
Zn  0.7279  0.2500  0.5301
Zn  0.8776  0.7500  0.2779
Zn  0.9668  0.2500  0.1176

Values from the calculation:
M_tot: 0.00 μB per formula unit
formation energy: -0.2269 eV per atom
calculated volume: 522.93 Å³ per cell
SG: P2_1/m

=====

(5)
# SeBr3N2

A relaxed structure of SeBr3N2 (PBE-GGA, the Alexandria database).

Lattice parameters (Å, degrees): 7.0565 7.0565 8.5103 98.95 98.95 72.60
Sites, in units of the cell vectors:
Se  0.0456  0.9544  0.7500
Se  0.9544  0.0456  0.2500
Br  0.1641  0.1707  0.9869
Br  0.1707  0.1641  0.4869
Br  0.3253  0.6747  0.7500
Br  0.6747  0.3253  0.2500
Br  0.8293  0.8359  0.5131
Br  0.8359  0.8293  0.0131
N  0.2192  0.4992  0.3107
N  0.4992  0.2192  0.8107
N  0.5008  0.7808  0.1893
N  0.7808  0.5008  0.6893

Values from the calculation:
M_tot: 5.79 μB per formula unit
calculated volume: 396.79 Å³ per cell
energy relative to the elements, uncorrected: 1692 meV/atom
SG: C2/c

=====

(6)
# SiSb2F

A relaxed structure of SiSb2F (PBE-GGA, the Alexandria database).

Lattice parameters (Å, degrees): 6.7172 6.7172 6.7172 122.13 122.13 86.36
Sites, in units of the cell vectors:
Si  0.0000  0.0000  0.0000
Si  0.7500  0.2500  0.5000
Sb  0.1387  0.6250  0.0137
Sb  0.3750  0.3887  0.5137
Sb  0.6113  0.1250  0.9863
Sb  0.8750  0.8613  0.4863
F  0.2500  0.7500  0.5000
F  0.5000  0.5000  0.0000

Values from the calculation:
M_tot: 0.00 μB per formula unit
offset from the most stable computed form: 148 meV/atom
calculated volume: 206.97 Å³ per cell
energy relative to the elements, uncorrected: -193 meV/atom
SG: I-42d

=====

- What is the formula in the second record?
  YCuGe

=====

- Among the records above, which one has the lowest calculated volume?
  KIOF2

=====

- Which value of M_tot does entry 2 give?
  0.00 μB per formula unit